First-principles (GGA+U) data for Li2MoRh2O6 after structural relaxation, as listed in Alexandria via LeMat-Bulk.

abc: 5.3460 5.3460 5.3057
angles: 100.14 100.14 120.85
Closest atoms and distances in Å follow each position.
Fractional positions:
Li: 0.1849 0.8151 0.0000  6 O 2.09-2.32
Li: 0.8151 0.1849 0.0000  6 O 2.09-2.32
Mo: 0.0000 0.0000 0.5000  6 O 2.05-2.13
Rh: 0.3359 0.6641 0.5000  6 O 2.06-2.11
Rh: 0.6641 0.3359 0.5000  6 O 2.06-2.11
O: 0.0678 0.4138 0.7219  2 Rh 2.06-2.10, 2 Li 2.09-2.27, 1 Mo 2.13
O: 0.2431 0.2431 0.2729  1 Mo 2.05, 2 Rh 2.11
O: 0.4138 0.0678 0.7219  2 Rh 2.06-2.10, 2 Li 2.09-2.27, 1 Mo 2.13
O: 0.5862 0.9322 0.2781  2 Rh 2.06-2.10, 2 Li 2.09-2.27, 1 Mo 2.13
O: 0.7569 0.7569 0.7271  1 Mo 2.05, 2 Rh 2.11
O: 0.9322 0.5862 0.2781  2 Rh 2.06-2.10, 2 Li 2.09-2.27, 1 Mo 2.13

Output
ρ: 5.620 g/cm3
Electronic total energy: -69.64 eV per cell
Symmetry: No. 12
Total moment: 0.18 μB/atom
Volume: 11.1 A^3/atom